Material: Y2HfV
Method: DFT, PBE
State: relaxed

space group = No. 225
energy = -30.27 eV for the cell shown
E above lowest polymorph = 0 meV per atom
energy of formation = 0.432 eV/atom

```
4
Lattice="0.0000 3.6790 3.6790 3.6790 0.0000 3.6790 3.6790 3.6790 0.0000" Properties=species:S:1:pos:R:3 pbc="T T T"
Y 5.5186 5.5186 5.5186
Y 1.8395 1.8395 1.8395
Hf 3.6790 3.6790 3.6790
V 0.0000 0.0000 0.0000
```